[1]
A relaxed Ti2MoS6 crystal, computed with PBE.

Calculated values
ΔE_f (raw) = -0.7583 eV/atom
E_tot = -6.47 eV/atom

Cell and atoms, written as POSCAR:
```
Ti2MoS6
1.0
-2.013 -1.941 2.203
3.921 -4.041 2.900
3.309 2.915 8.468
Ti Mo S
2 1 6
Cartesian
5.226 -0.837 9.791
-0.009 -2.229 3.781
3.615 -0.563 5.684
1.631 -4.122 3.612
3.586 1.056 9.959
2.604 -4.490 7.053
3.818 -1.473 7.943
2.613 1.424 6.518
1.399 -1.593 5.628
```



[2]
A relaxed KFe3 crystal, computed with PBE.

Calculated values
E_tot = -5.33 eV/atom

Cell and atoms, written as POSCAR:
```
KFe3
1.0
-0.219 -4.157 -2.712
3.614 -1.995 2.765
-1.812 -0.986 1.658
Fe K
3 1
Cartesian
0.000 0.000 0.000
-1.016 -2.571 -0.527
1.697 -3.076 0.026
0.901 -1.490 2.211
```



[3]
A relaxed MgTc2P crystal, computed with PBE.

Calculated values
offset from the most stable computed form = 40.02 kJ/mol of atoms
E_tot = -6.85 eV/atom

Cell and atoms, written as POSCAR:
```
MgTc2P
1.0
-3.094 -0.213 -2.868
-2.744 -1.042 3.038
-0.630 2.992 0.457
Mg P Tc
1 1 2
Cartesian
-1.862 1.389 -1.205
-1.687 0.975 1.748
0.000 0.000 0.000
-2.919 -0.627 0.085
```



[4]
A relaxed Na2ZnSe crystal, computed with PBE.

Calculated values
offset from the most stable computed form = 0.00 kJ/mol of atoms
ΔE_f (raw) = -0.5086 eV/atom
E_tot = -2.36 eV/atom

Cell and atoms, written as POSCAR:
```
Na2ZnSe
1.0
0.000 3.607 3.607
3.607 0.000 3.607
3.607 3.607 0.000
Na Zn Se
2 1 1
Cartesian
1.804 1.804 1.804
5.411 5.411 5.411
0.000 0.000 0.000
3.607 3.607 3.607
```



[5]
A relaxed YTcW crystal, computed with PBE.

Calculated values
offset from the most stable computed form = 25.04 kJ/mol of atoms
E_tot = -9.71 eV/atom

Cell and atoms, written as POSCAR:
```
YTcW
1.0
4.343 0.000 0.000
0.000 4.679 0.000
-2.172 0.000 5.917
Tc Y W
2 2 2
Cartesian
2.172 1.170 1.620
0.000 3.509 4.297
2.172 1.170 4.984
0.000 3.509 0.933
0.000 1.170 2.920
2.172 3.509 2.997
```



[6]
A relaxed NaMg2Te2 crystal, computed with PBE.

Calculated values
offset from the most stable computed form = 0.52 kJ/mol of atoms
ΔE_f (raw) = -0.5612 eV/atom
E_tot = -2.72 eV/atom

Cell and atoms, written as POSCAR:
```
NaMg2Te2
1.0
4.712 0.000 0.000
0.000 4.712 0.000
2.356 2.356 7.290
Na Mg Te
1 2 2
Cartesian
0.000 0.000 0.000
4.712 2.356 3.645
2.356 4.712 3.645
2.356 2.356 1.979
4.712 4.712 5.311
```